1.
Below is BeRe2W after structural relaxation, with properties calculated at the PBE level.

The space group is F-43m (No. 216) and the conventional cell measures 6.0932, 6.0932 and 6.0932 Å, with angles of 90.00, 90.00 and 90.00 degrees. The distinct sites, in fractional coordinates, are Be at (0.0000, 0.0000, 0.0000), Re at (0.0000, 0.0000, 0.5000), Re at (0.2500, 0.2500, 0.2500) and W at (0.2500, 0.2500, 0.7500).

For the energy, the calculation gives -10.17 eV per atom. Its density of states at the Fermi level is 17.95 states/eV/cell. The magnetization is 0.000 μB per formula unit.

***

2.
Below is YInHg2 after structural relaxation, with properties calculated at the PBE level.

The space group is P2/m (No. 10) and the conventional cell measures 3.3452, 4.9126 and 6.1895 Å, with angles of 90.00, 90.10 and 90.00 degrees. The distinct sites, in fractional coordinates, are Y at (0.0000, 0.0000, 0.0000), In at (0.5000, 0.0000, 0.5000) and Hg at (0.4963, 0.5000, 0.7627).

For the energy, the calculation gives -2.73 eV per atom. Its density of states at the Fermi level is 2.44 states/eV/cell. The magnetization is 0.000 μB per formula unit.

***

3.
Below is La7In2Pt2 after structural relaxation, with properties calculated at the PBE level.

The space group is Cmmm (No. 65) and the conventional cell measures 8.5596, 11.6772 and 7.3243 Å, with angles of 90.00, 90.00 and 90.00 degrees. The distinct sites, in fractional coordinates, are La at (0.0000, 0.0000, 0.0000), La at (0.0000, 0.5000, 0.2497), La at (0.2500, 0.2500, 0.2599), In at (0.1666, 0.0000, 0.5000) and Pt at (0.0000, 0.2858, 0.0000).

For the energy, the calculation gives -5.29 eV per atom. The energy above the most stable polymorph in this dataset comes out at 0.047 eV per atom. Its density of states at the Fermi level is 24.94 states/eV/cell. The magnetization is 0.000 μB per formula unit.

***

4.
Below is EuTm2Au after structural relaxation, with properties calculated at the PBE level.

The space group is R-3m (No. 166, hexagonal axes) and the conventional cell measures 3.7841, 3.7841 and 30.0833 Å, with angles of 90.00, 90.00 and 120.00 degrees. The distinct sites, in fractional coordinates, are Eu at (0.0000, 0.0000, 0.0000), Tm at (0.0000, 0.0000, 0.2304) and Au at (0.0000, 0.0000, 0.5000).

For the energy, the calculation gives -5.90 eV per atom. The energy above the most stable polymorph in this dataset comes out at 0.095 eV per atom. Its density of states at the Fermi level is 13.69 states/eV/cell. The magnetization is 7.711 μB per formula unit.

***

magnetization of number 1 (BeRe2W)?
0.000 μB per formula unit